(1)
PBE-GGA SmBW, optimized geometry; size of the total moment = 0.884 μB/atom; space-group type = F-43m, No. 216; relative energy among the computed polymorphs = 1606 meV/atom
1.0
0.000 3.228 3.228
3.228 0.000 3.228
3.228 3.228 0.000
Sm B W
1 1 1
Direct
0.000 0.000 0.000 Sm
0.750 0.750 0.750 B
0.250 0.250 0.250 W

(2)
PBE-GGA PrTmZn2Sn2, optimized geometry; size of the total moment = 0.000 μB/atom; space-group type = P6_3/mmc, No. 194; relative energy among the computed polymorphs = 0 meV/atom
1.0
4.522 0.000 0.000
-2.261 3.916 0.000
0.000 0.000 16.208
Pr Tm Zn Sn
2 2 4 4
Direct
0.000 0.000 0.000 Pr
0.000 0.000 0.500 Pr
0.000 0.000 0.250 Tm
0.000 0.000 0.750 Tm
0.333 0.667 0.165 Zn
0.333 0.667 0.335 Zn
0.667 0.333 0.665 Zn
0.667 0.333 0.835 Zn
0.333 0.667 0.620 Sn
0.333 0.667 0.880 Sn
0.667 0.333 0.120 Sn
0.667 0.333 0.380 Sn

(3)
PBE-GGA GdSc2Al3CuGe2, optimized geometry; size of the total moment = 0.001 μB/atom; E_tot = -47.2 eV per cell; space-group type = Amm2, No. 38
1.0
4.058 0.000 0.000
0.000 5.974 3.396
0.000 -5.974 3.396
Gd Sc Al Cu Ge
1 2 3 1 2
Direct
0.000 0.000 0.000 Gd
0.000 0.192 0.597 Sc
0.000 0.597 0.192 Sc
0.500 0.357 0.357 Al
0.500 0.590 0.826 Al
0.500 0.826 0.590 Al
0.000 0.579 0.579 Cu
0.500 0.269 0.923 Ge
0.500 0.923 0.269 Ge

(4)
PBE-GGA SmSbPO, optimized geometry; size of the total moment = 0.001 μB/atom; space-group type = Pmc2_1, No. 26; relative energy among the computed polymorphs = 96 meV/atom
1.0
3.630 0.000 0.000
0.000 6.167 0.000
0.000 0.000 7.164
Sm Sb P O
2 2 2 2
Direct
0.000 0.092 0.000 Sm
0.000 0.908 0.500 Sm
0.500 0.394 0.563 Sb
0.500 0.606 0.063 Sb
0.000 0.441 0.296 P
0.000 0.559 0.796 P
0.500 0.039 0.823 O
0.500 0.961 0.323 O

(5)
PBE-GGA HfScSi2Pd4, optimized geometry; size of the total moment = 0.003 μB/atom; E_tot = -54.9 eV per cell; space-group type = Amm2, No. 38
1.0
7.004 0.000 0.000
0.000 1.876 4.879
0.000 -1.876 4.879
Hf Sc Si Pd
1 1 2 4
Direct
0.000 0.000 0.000 Hf
0.500 0.107 0.107 Sc
0.000 0.283 0.283 Si
0.500 0.823 0.823 Si
0.198 0.693 0.693 Pd
0.300 0.414 0.414 Pd
0.700 0.414 0.414 Pd
0.802 0.693 0.693 Pd

(6)
PBE-GGA SiGePd2, optimized geometry; space-group type = Pmn2_1, No. 31; relative energy among the computed polymorphs = 3 meV/atom
1.0
3.446 0.000 0.000
0.000 5.816 0.000
0.000 0.000 6.297
Si Ge Pd
2 2 4
Direct
0.000 0.067 0.000 Si
0.500 0.933 0.500 Si
0.000 0.567 0.354 Ge
0.500 0.433 0.854 Ge
0.000 0.234 0.616 Pd
0.000 0.757 0.734 Pd
0.500 0.243 0.234 Pd
0.500 0.766 0.116 Pd

(7)
PBE-GGA ScNiAsIr, optimized geometry; size of the total moment = 0.006 μB/atom; E_tot = -26.4 eV per cell; space-group type = F-43m, No. 216
1.0
0.000 3.142 3.142
3.142 0.000 3.142
3.142 3.142 0.000
Sc Ni As Ir
1 1 1 1
Direct
0.000 0.000 0.000 Sc
0.500 0.500 0.500 Ni
0.250 0.250 0.250 As
0.750 0.750 0.750 Ir

(8)
PBE-GGA YHoP4Au2, optimized geometry; size of the total moment = 0.001 μB/atom; E_tot = -44.6 eV per cell; space-group type = P4mm, No. 99
1.0
3.886 0.000 0.000
0.000 3.886 0.000
0.000 0.000 9.982
Y Ho P Au
1 1 4 2
Direct
0.000 0.000 0.000 Y
0.500 0.500 0.446 Ho
0.000 0.000 0.530 P
0.000 0.500 0.224 P
0.500 0.000 0.224 P
0.500 0.500 0.913 P
0.000 0.500 0.721 Au
0.500 0.000 0.721 Au

(9)
PBE-GGA BPIrO, optimized geometry; size of the total moment = 0.001 μB/atom; space-group type = P4/nmm, No. 129; relative energy among the computed polymorphs = 1384 meV/atom
1.0
3.184 0.000 0.000
0.000 3.184 0.000
0.000 0.000 8.990
B P Ir O
2 2 2 2
Direct
0.250 0.750 0.000 B
0.750 0.250 0.000 B
0.250 0.250 0.153 P
0.750 0.750 0.847 P
0.250 0.250 0.651 Ir
0.750 0.750 0.349 Ir
0.250 0.750 0.500 O
0.750 0.250 0.500 O

(10)
PBE-GGA PrDy3Si4, optimized geometry; size of the total moment = 0.000 μB/atom; E_tot = -46.7 eV per cell; space-group type = Pm, No. 6
1.0
5.771 0.000 0.000
0.000 3.868 0.000
-0.036 0.000 8.025
Pr Dy Si
1 3 4
Direct
0.000 0.000 0.000 Pr
0.230 0.500 0.360 Dy
0.500 0.500 0.857 Dy
0.728 0.000 0.499 Dy
0.243 0.000 0.638 Si
0.487 0.000 0.145 Si
0.737 0.500 0.223 Si
0.987 0.500 0.709 Si

(11)
PBE-GGA KErTmNi2, optimized geometry; size of the total moment = 0.000 μB/atom; E_tot = -22.1 eV per cell; space-group type = Amm2, No. 38
1.0
3.609 0.000 0.000
0.000 2.015 8.879
0.000 -2.015 8.879
K Er Tm Ni
1 1 1 2
Direct
0.000 0.000 0.000 K
0.500 0.329 0.329 Er
0.500 0.670 0.670 Tm
0.000 0.205 0.205 Ni
0.000 0.793 0.793 Ni

(12)
PBE-GGA Pr3PaBi5, optimized geometry; size of the total moment = 0.002 μB/atom; E_tot = -101.0 eV per cell; space-group type = P6_3/mcm, No. 193
1.0
9.996 0.000 0.000
-4.998 8.657 0.000
0.000 0.000 6.492
Pr Pa Bi
6 2 10
Direct
0.000 0.383 0.250 Pr
0.000 0.617 0.750 Pr
0.383 0.000 0.250 Pr
0.383 0.383 0.750 Pr
0.617 0.000 0.750 Pr
0.617 0.617 0.250 Pr
0.000 0.000 0.000 Pa
0.000 0.000 0.500 Pa
0.000 0.274 0.750 Bi
0.000 0.726 0.250 Bi
0.274 0.000 0.750 Bi
0.274 0.274 0.250 Bi
0.333 0.667 0.000 Bi
0.333 0.667 0.500 Bi
0.667 0.333 0.000 Bi
0.667 0.333 0.500 Bi
0.726 0.000 0.250 Bi
0.726 0.726 0.750 Bi

(13)
PBE-GGA Lu4Ta2Ga3N3, optimized geometry; size of the total moment = 0.000 μB/atom; E_tot = -176.8 eV per cell; space-group type = C2/c, No. 15
1.0
4.962 -2.881 0.000
4.962 2.881 0.000
-3.306 0.000 13.671
Lu Ta Ga N
8 4 6 6
Direct
0.039 0.193 0.098 Lu
0.127 0.302 0.402 Lu
0.193 0.039 0.598 Lu
0.302 0.127 0.902 Lu
0.698 0.873 0.098 Lu
0.807 0.961 0.402 Lu
0.873 0.698 0.598 Lu
0.961 0.807 0.902 Lu
0.356 0.525 0.076 Ta
0.475 0.644 0.424 Ta
0.525 0.356 0.576 Ta
0.644 0.475 0.924 Ta
0.147 0.853 0.250 Ga
0.314 0.417 0.751 Ga
0.417 0.314 0.251 Ga
0.583 0.686 0.749 Ga
0.686 0.583 0.249 Ga
0.853 0.147 0.750 Ga
0.000 0.500 0.000 N
0.170 0.666 0.500 N
0.334 0.830 0.000 N
0.500 0.000 0.500 N
0.666 0.170 0.000 N
0.830 0.334 0.500 N

(14)
PBE-GGA CuAg4, optimized geometry; energy relative to the elements = 61 meV per atom; space-group type = C2/m, No. 12; relative energy among the computed polymorphs = 36 meV/atom
1.0
9.994 -1.457 0.000
9.994 1.457 0.000
-0.859 0.000 5.751
Cu Ag
2 8
Direct
0.098 0.098 0.298 Cu
0.902 0.902 0.702 Cu
0.100 0.100 0.801 Ag
0.302 0.302 0.894 Ag
0.304 0.304 0.410 Ag
0.500 0.500 0.000 Ag
0.500 0.500 0.500 Ag
0.696 0.696 0.590 Ag
0.698 0.698 0.106 Ag
0.900 0.900 0.199 Ag

(15)
PBE-GGA AgIr2Au, optimized geometry; energy relative to the elements = 556 meV per atom; size of the total moment = 0.002 μB/atom; space-group type = F-43m, No. 216
1.0
0.000 3.188 3.188
3.188 0.000 3.188
3.188 3.188 0.000
Ag Ir Au
1 2 1
Direct
0.000 0.000 0.000 Ag
0.250 0.250 0.250 Ir
0.500 0.500 0.500 Ir
0.750 0.750 0.750 Au

(16)
PBE-GGA PrTm2Mg3Tl2Zn, optimized geometry; size of the total moment = 0.001 μB/atom; E_tot = -27.1 eV per cell; space-group type = Amm2, No. 38
1.0
4.597 0.000 0.000
0.000 6.599 3.698
0.000 -6.599 3.698
Pr Tm Mg Tl Zn
1 2 3 2 1
Direct
0.000 0.000 0.000 Pr
0.000 0.413 0.826 Tm
0.000 0.826 0.413 Tm
0.500 0.183 0.417 Mg
0.500 0.417 0.183 Mg
0.500 0.653 0.653 Mg
0.500 0.084 0.741 Tl
0.500 0.741 0.084 Tl
0.000 0.429 0.429 Zn

(17)
PBE-GGA LuTlGaTe3, optimized geometry; size of the total moment = 0.001 μB/atom; space-group type = Pnma, No. 62; relative energy among the computed polymorphs = 0 meV/atom
1.0
15.307 0.000 0.000
0.000 4.421 0.000
0.000 0.000 12.183
Lu Tl Ga Te
4 4 4 12
Direct
0.022 0.250 0.146 Lu
0.478 0.750 0.646 Lu
0.522 0.250 0.354 Lu
0.978 0.750 0.854 Lu
0.234 0.250 0.455 Tl
0.266 0.750 0.955 Tl
0.734 0.250 0.045 Tl
0.766 0.750 0.545 Tl
0.027 0.750 0.401 Ga
0.473 0.250 0.901 Ga
0.527 0.750 0.099 Ga
0.973 0.250 0.599 Ga
0.083 0.750 0.632 Te
0.105 0.250 0.924 Te
0.143 0.750 0.228 Te
0.357 0.250 0.728 Te
0.395 0.750 0.424 Te
0.417 0.250 0.132 Te
0.583 0.750 0.868 Te
0.605 0.250 0.576 Te
0.643 0.750 0.272 Te
0.857 0.250 0.772 Te
0.895 0.750 0.076 Te
0.917 0.250 0.368 Te

(18)
PBE-GGA Lu2Pt2O5, optimized geometry; size of the total moment = 0.000 μB/atom; space-group type = P4/mmm, No. 123; relative energy among the computed polymorphs = 104 meV/atom
1.0
4.020 0.000 0.000
0.000 4.020 0.000
0.000 0.000 6.829
Lu Pt O
2 2 5
Direct
0.000 0.000 0.000 Lu
0.000 0.000 0.500 Lu
0.500 0.500 0.191 Pt
0.500 0.500 0.809 Pt
0.000 0.500 0.240 O
0.000 0.500 0.760 O
0.500 0.000 0.240 O
0.500 0.000 0.760 O
0.500 0.500 0.500 O

(19)
PBE-GGA BeTcNO, optimized geometry; size of the total moment = 0.000 μB/atom; space-group type = Pca2_1, No. 29; relative energy among the computed polymorphs = 399 meV/atom
1.0
5.072 0.000 0.000
0.000 6.195 0.000
0.000 0.000 4.677
Be Tc N O
4 4 4 4
Direct
0.113 0.084 0.000 Be
0.387 0.084 0.500 Be
0.613 0.916 0.000 Be
0.887 0.916 0.500 Be
0.078 0.582 0.039 Tc
0.422 0.582 0.539 Tc
0.578 0.418 0.039 Tc
0.922 0.418 0.539 Tc
0.068 0.129 0.637 N
0.432 0.129 0.137 N
0.568 0.871 0.637 N
0.932 0.871 0.137 N
0.061 0.714 0.639 O
0.439 0.714 0.139 O
0.561 0.286 0.639 O
0.939 0.286 0.139 O

(20)
PBE-GGA AcPPtO, optimized geometry; size of the total moment = 0.003 μB/atom; space-group type = Pmc2_1, No. 26; relative energy among the computed polymorphs = 493 meV/atom
1.0
3.586 0.000 0.000
0.000 7.924 0.000
0.000 0.000 5.525
Ac P Pt O
2 2 2 2
Direct
0.000 0.153 0.000 Ac
0.000 0.847 0.500 Ac
0.000 0.450 0.475 P
0.000 0.550 0.975 P
0.500 0.278 0.508 Pt
0.500 0.722 0.008 Pt
0.500 0.023 0.730 O
0.500 0.977 0.230 O

(21)
PBE-GGA Nd2Ir7, optimized geometry; energy relative to the elements = -443 meV per atom; size of the total moment = 0.001 μB/atom; space-group type = R-3m, No. 166
1.0
2.675 1.545 13.132
-2.675 1.545 13.132
0.000 -3.089 13.132
Nd Ir
4 14
Direct
0.051 0.051 0.051 Nd
0.148 0.148 0.148 Nd
0.852 0.852 0.852 Nd
0.949 0.949 0.949 Nd
0.000 0.500 0.500 Ir
0.110 0.609 0.609 Ir
0.278 0.278 0.278 Ir
0.389 0.389 0.389 Ir
0.391 0.391 0.890 Ir
0.391 0.890 0.391 Ir
0.500 0.000 0.500 Ir
0.500 0.500 0.000 Ir
0.500 0.500 0.500 Ir
0.609 0.110 0.609 Ir
0.609 0.609 0.110 Ir
0.611 0.611 0.611 Ir
0.722 0.722 0.722 Ir
0.890 0.391 0.391 Ir

(22)
PBE-GGA SrNdIN, optimized geometry; size of the total moment = 0.060 μB/atom; space-group type = P-6m2, No. 187; relative energy among the computed polymorphs = 42 meV/atom
1.0
3.874 0.000 0.000
-1.937 3.355 0.000
0.000 0.000 15.411
Sr Nd I N
2 2 2 2
Direct
0.000 0.000 0.165 Sr
0.000 0.000 0.835 Sr
0.333 0.667 0.338 Nd
0.333 0.667 0.662 Nd
0.000 0.000 0.500 I
0.333 0.667 0.000 I
0.667 0.333 0.263 N
0.667 0.333 0.737 N